*one*
Below is a relaxed Co2AgMo2 crystal, with properties calculated at the PBE level.

Cell and atoms, written as CIF:
```
data_Co2AgMo2
_symmetry_space_group_name_H-M 'P 1'
_symmetry_Int_Tables_number 1
_cell_length_a 7.2229
_cell_length_b 7.2229
_cell_length_c 2.7017
_cell_angle_alpha 90.00
_cell_angle_beta 90.00
_cell_angle_gamma 90.00
loop_
_symmetry_equiv_pos_as_xyz
'x,y,z'
loop_
_atom_site_label
_atom_site_type_symbol
_atom_site_fract_x
_atom_site_fract_y
_atom_site_fract_z
_atom_site_occupancy
Co1 Co 0.1246 0.3754 0.0000 1
Co2 Co 0.3754 0.8754 0.0000 1
Co3 Co 0.6246 0.1246 0.0000 1
Co4 Co 0.8754 0.6246 0.0000 1
Ag1 Ag 0.0000 0.0000 0.0000 1
Ag2 Ag 0.5000 0.5000 0.0000 1
Mo1 Mo 0.1674 0.6674 0.5000 1
Mo2 Mo 0.3326 0.1674 0.5000 1
Mo3 Mo 0.6674 0.8326 0.5000 1
Mo4 Mo 0.8326 0.3326 0.5000 1
```

Mass density ... 9.840 g/cm³
Spin magnetization ... 0.0 μB per formula unit
Space-group type ... P4/mbm (127)

*two*
Below is a relaxed Co2AgMo2 crystal, with properties calculated at the PBE level.

Cell and atoms, written as CIF:
```
data_Co2AgMo2
_symmetry_space_group_name_H-M 'P 1'
_symmetry_Int_Tables_number 1
_cell_length_a 7.4134
_cell_length_b 7.4134
_cell_length_c 2.6397
_cell_angle_alpha 90.00
_cell_angle_beta 90.00
_cell_angle_gamma 90.00
loop_
_symmetry_equiv_pos_as_xyz
'x,y,z'
loop_
_atom_site_label
_atom_site_type_symbol
_atom_site_fract_x
_atom_site_fract_y
_atom_site_fract_z
_atom_site_occupancy
Co1 Co 0.1691 0.3309 0.0000 1
Co2 Co 0.3309 0.8309 0.0000 1
Co3 Co 0.6691 0.1691 0.0000 1
Co4 Co 0.8309 0.6691 0.0000 1
Ag1 Ag 0.0000 0.0000 0.5000 1
Ag2 Ag 0.5000 0.5000 0.5000 1
Mo1 Mo 0.1231 0.6231 0.5000 1
Mo2 Mo 0.3769 0.1231 0.5000 1
Mo3 Mo 0.6231 0.8769 0.5000 1
Mo4 Mo 0.8769 0.3769 0.5000 1
```

Mass density ... 9.560 g/cm³
Spin magnetization ... 0.0 μB per formula unit
Space-group type ... P4/mbm (127)

Which one is most stable, and which one is least stable? *one* is the most stable of them, while *two* is the least stable.

*one*
Below is a relaxed CoAgN2 crystal, with properties calculated at the PBE level.

Cell and atoms, written as CIF:
```
data_CoAgN2
_symmetry_space_group_name_H-M 'P 1'
_symmetry_Int_Tables_number 1
_cell_length_a 5.4386
_cell_length_b 5.4386
_cell_length_c 5.4386
_cell_angle_alpha 90.00
_cell_angle_beta 90.00
_cell_angle_gamma 90.00
loop_
_symmetry_equiv_pos_as_xyz
'x,y,z'
loop_
_atom_site_label
_atom_site_type_symbol
_atom_site_fract_x
_atom_site_fract_y
_atom_site_fract_z
_atom_site_occupancy
Co1 Co 0.0000 0.0000 0.0000 1
Co2 Co 0.0000 0.5000 0.5000 1
Co3 Co 0.5000 0.0000 0.5000 1
Co4 Co 0.5000 0.5000 0.0000 1
Ag1 Ag 0.0000 0.0000 0.5000 1
Ag2 Ag 0.0000 0.5000 0.0000 1
Ag3 Ag 0.5000 0.0000 0.0000 1
Ag4 Ag 0.5000 0.5000 0.5000 1
N1 N 0.2500 0.2500 0.2500 1
N2 N 0.2500 0.2500 0.7500 1
N3 N 0.2500 0.7500 0.2500 1
N4 N 0.2500 0.7500 0.7500 1
N5 N 0.7500 0.2500 0.2500 1
N6 N 0.7500 0.2500 0.7500 1
N7 N 0.7500 0.7500 0.2500 1
N8 N 0.7500 0.7500 0.7500 1
```

Mass density ... 8.044 g/cm³
Spin magnetization ... 1.3 μB per formula unit
Space-group type ... Fm-3m (225)

*two*
Below is a relaxed CoAgN2 crystal, with properties calculated at the PBE level.

Cell and atoms, written as CIF:
```
data_CoAgN2
_symmetry_space_group_name_H-M 'P 1'
_symmetry_Int_Tables_number 1
_cell_length_a 4.9646
_cell_length_b 4.9646
_cell_length_c 7.8828
_cell_angle_alpha 90.00
_cell_angle_beta 90.00
_cell_angle_gamma 90.00
loop_
_symmetry_equiv_pos_as_xyz
'x,y,z'
loop_
_atom_site_label
_atom_site_type_symbol
_atom_site_fract_x
_atom_site_fract_y
_atom_site_fract_z
_atom_site_occupancy
Co1 Co 0.0000 0.0000 0.0000 1
Co2 Co 0.0000 0.5000 0.2500 1
Co3 Co 0.5000 0.0000 0.7500 1
Co4 Co 0.5000 0.5000 0.5000 1
Ag1 Ag 0.0000 0.0000 0.5000 1
Ag2 Ag 0.0000 0.5000 0.7500 1
Ag3 Ag 0.5000 0.0000 0.2500 1
Ag4 Ag 0.5000 0.5000 0.0000 1
N1 N 0.1628 0.2500 0.1250 1
N2 N 0.2500 0.6628 0.3750 1
N3 N 0.2500 0.8372 0.8750 1
N4 N 0.3372 0.2500 0.6250 1
N5 N 0.6628 0.7500 0.6250 1
N6 N 0.7500 0.1628 0.8750 1
N7 N 0.7500 0.3372 0.3750 1
N8 N 0.8372 0.7500 0.1250 1
```

Mass density ... 6.660 g/cm³
Spin magnetization ... 0.0 μB per formula unit
Space-group type ... I-42d (122)

*three*
Below is a relaxed CoAgN2 crystal, with properties calculated at the PBE level.

Cell and atoms, written as CIF:
```
data_CoAgN2
_symmetry_space_group_name_H-M 'P 1'
_symmetry_Int_Tables_number 1
_cell_length_a 2.8479
_cell_length_b 2.8479
_cell_length_c 18.6674
_cell_angle_alpha 90.00
_cell_angle_beta 90.00
_cell_angle_gamma 120.00
loop_
_symmetry_equiv_pos_as_xyz
'x,y,z'
loop_
_atom_site_label
_atom_site_type_symbol
_atom_site_fract_x
_atom_site_fract_y
_atom_site_fract_z
_atom_site_occupancy
Co1 Co 0.0000 0.0000 0.0000 1
Co2 Co 0.3333 0.6667 0.6667 1
Co3 Co 0.6667 0.3333 0.3333 1
Ag1 Ag 0.0000 0.0000 0.5000 1
Ag2 Ag 0.3333 0.6667 0.1667 1
Ag3 Ag 0.6667 0.3333 0.8333 1
N1 N 0.0000 0.0000 0.3870 1
N2 N 0.0000 0.0000 0.6130 1
N3 N 0.3333 0.6667 0.0537 1
N4 N 0.3333 0.6667 0.2796 1
N5 N 0.6667 0.3333 0.7204 1
N6 N 0.6667 0.3333 0.9463 1
```

Mass density ... 7.402 g/cm³
Spin magnetization ... 0.0 μB per formula unit
Space-group type ... R-3m (166)

Which one is most stable, and which one is least stable? *two* is the most stable of them, while *one* is the least stable.

*one*
Below is a relaxed CoAgS2N crystal, with properties calculated at the PBE level.

Cell and atoms, written as CIF:
```
data_CoAgS2N
_symmetry_space_group_name_H-M 'P 1'
_symmetry_Int_Tables_number 1
_cell_length_a 4.9432
_cell_length_b 4.9432
_cell_length_c 3.8265
_cell_angle_alpha 90.00
_cell_angle_beta 90.00
_cell_angle_gamma 90.00
loop_
_symmetry_equiv_pos_as_xyz
'x,y,z'
loop_
_atom_site_label
_atom_site_type_symbol
_atom_site_fract_x
_atom_site_fract_y
_atom_site_fract_z
_atom_site_occupancy
Co1 Co 0.0000 0.0000 0.0000 1
Ag1 Ag 0.5000 0.5000 0.5000 1
S1 S 0.0000 0.5000 0.5000 1
S2 S 0.5000 0.0000 0.5000 1
N1 N 0.5000 0.5000 0.0000 1
```

Mass density ... 4.350 g/cm³
Spin magnetization ... 2.9 μB per formula unit
Space-group type ... P4/mmm (123)

*two*
Below is a relaxed CoAgS2N crystal, with properties calculated at the PBE level.

Cell and atoms, written as CIF:
```
data_CoAgS2N
_symmetry_space_group_name_H-M 'P 1'
_symmetry_Int_Tables_number 1
_cell_length_a 4.7727
_cell_length_b 4.7727
_cell_length_c 3.3567
_cell_angle_alpha 90.00
_cell_angle_beta 90.00
_cell_angle_gamma 90.00
loop_
_symmetry_equiv_pos_as_xyz
'x,y,z'
loop_
_atom_site_label
_atom_site_type_symbol
_atom_site_fract_x
_atom_site_fract_y
_atom_site_fract_z
_atom_site_occupancy
Co1 Co 0.0000 0.0000 0.0000 1
Ag1 Ag 0.5000 0.5000 0.5000 1
S1 S 0.0000 0.5000 0.0000 1
S2 S 0.5000 0.0000 0.0000 1
N1 N 0.0000 0.0000 0.5000 1
```

Mass density ... 5.319 g/cm³
Spin magnetization ... 0.0 μB per formula unit
Space-group type ... P4/mmm (123)

Which one is most stable, and which one is least stable? *two* is the most stable of them, while *one* is the least stable.

*one*
Below is a relaxed CoAgSe2N crystal, with properties calculated at the PBE level.

Cell and atoms, written as CIF:
```
data_CoAgSe2N
_symmetry_space_group_name_H-M 'P 1'
_symmetry_Int_Tables_number 1
_cell_length_a 5.0512
_cell_length_b 5.0512
_cell_length_c 3.3496
_cell_angle_alpha 90.00
_cell_angle_beta 90.00
_cell_angle_gamma 90.00
loop_
_symmetry_equiv_pos_as_xyz
'x,y,z'
loop_
_atom_site_label
_atom_site_type_symbol
_atom_site_fract_x
_atom_site_fract_y
_atom_site_fract_z
_atom_site_occupancy
Co1 Co 0.0000 0.0000 0.0000 1
Ag1 Ag 0.5000 0.5000 0.5000 1
Se1 Se 0.0000 0.5000 0.0000 1
Se2 Se 0.5000 0.0000 0.0000 1
N1 N 0.0000 0.0000 0.5000 1
```

Mass density ... 6.581 g/cm³
Spin magnetization ... 0.0 μB per formula unit
Space-group type ... P4/mmm (123)

*two*
Below is a relaxed CoAgSe2N crystal, with properties calculated at the PBE level.

Cell and atoms, written as CIF:
```
data_CoAgSe2N
_symmetry_space_group_name_H-M 'P 1'
_symmetry_Int_Tables_number 1
_cell_length_a 5.1802
_cell_length_b 5.1802
_cell_length_c 3.8436
_cell_angle_alpha 90.00
_cell_angle_beta 90.00
_cell_angle_gamma 90.00
loop_
_symmetry_equiv_pos_as_xyz
'x,y,z'
loop_
_atom_site_label
_atom_site_type_symbol
_atom_site_fract_x
_atom_site_fract_y
_atom_site_fract_z
_atom_site_occupancy
Co1 Co 0.0000 0.0000 0.0000 1
Ag1 Ag 0.5000 0.5000 0.5000 1
Se1 Se 0.0000 0.5000 0.5000 1
Se2 Se 0.5000 0.0000 0.5000 1
N1 N 0.5000 0.5000 0.0000 1
```

Mass density ... 5.454 g/cm³
Spin magnetization ... 2.9 μB per formula unit
Space-group type ... P4/mmm (123)

Which one is most stable, and which one is least stable? *one* is the most stable of them, while *two* is the least stable.

*one*
Below is a relaxed Na2CoAg crystal, with properties calculated at the PBE level.

Cell and atoms, written as CIF:
```
data_Na2CoAg
_symmetry_space_group_name_H-M 'P 1'
_symmetry_Int_Tables_number 1
_cell_length_a 7.0064
_cell_length_b 7.0064
_cell_length_c 7.0064
_cell_angle_alpha 90.00
_cell_angle_beta 90.00
_cell_angle_gamma 90.00
loop_
_symmetry_equiv_pos_as_xyz
'x,y,z'
loop_
_atom_site_label
_atom_site_type_symbol
_atom_site_fract_x
_atom_site_fract_y
_atom_site_fract_z
_atom_site_occupancy
Na1 Na 0.2500 0.2500 0.2500 1
Na2 Na 0.2500 0.2500 0.7500 1
Na3 Na 0.2500 0.7500 0.2500 1
Na4 Na 0.2500 0.7500 0.7500 1
Na5 Na 0.7500 0.2500 0.2500 1
Na6 Na 0.7500 0.2500 0.7500 1
Na7 Na 0.7500 0.7500 0.2500 1
Na8 Na 0.7500 0.7500 0.7500 1
Co1 Co 0.0000 0.0000 0.0000 1
Co2 Co 0.0000 0.5000 0.5000 1
Co3 Co 0.5000 0.0000 0.5000 1
Co4 Co 0.5000 0.5000 0.0000 1
Ag1 Ag 0.0000 0.0000 0.5000 1
Ag2 Ag 0.0000 0.5000 0.0000 1
Ag3 Ag 0.5000 0.0000 0.0000 1
Ag4 Ag 0.5000 0.5000 0.5000 1
```

Mass density ... 4.109 g/cm³
Spin magnetization ... 1.9 μB per formula unit
Space-group type ... Fm-3m (225)

*two*
Below is a relaxed Na2CoAg crystal, with properties calculated at the PBE level.

Cell and atoms, written as CIF:
```
data_Na2CoAg
_symmetry_space_group_name_H-M 'P 1'
_symmetry_Int_Tables_number 1
_cell_length_a 7.9854
_cell_length_b 7.9854
_cell_length_c 5.4228
_cell_angle_alpha 90.00
_cell_angle_beta 90.00
_cell_angle_gamma 90.00
loop_
_symmetry_equiv_pos_as_xyz
'x,y,z'
loop_
_atom_site_label
_atom_site_type_symbol
_atom_site_fract_x
_atom_site_fract_y
_atom_site_fract_z
_atom_site_occupancy
Na1 Na 0.2457 0.7500 0.1250 1
Na2 Na 0.2500 0.2457 0.8750 1
Na3 Na 0.2500 0.2543 0.3750 1
Na4 Na 0.2543 0.7500 0.6250 1
Na5 Na 0.7457 0.2500 0.6250 1
Na6 Na 0.7500 0.7457 0.3750 1
Na7 Na 0.7500 0.7543 0.8750 1
Na8 Na 0.7543 0.2500 0.1250 1
Co1 Co 0.0000 0.0000 0.0000 1
Co2 Co 0.0000 0.5000 0.2500 1
Co3 Co 0.5000 0.0000 0.7500 1
Co4 Co 0.5000 0.5000 0.5000 1
Ag1 Ag 0.0000 0.0000 0.5000 1
Ag2 Ag 0.0000 0.5000 0.7500 1
Ag3 Ag 0.5000 0.0000 0.2500 1
Ag4 Ag 0.5000 0.5000 0.0000 1
```

Mass density ... 4.087 g/cm³
Spin magnetization ... 1.7 μB per formula unit
Space-group type ... I-42d (122)

Which one is most stable, and which one is least stable? *one* is the most stable of them, while *two* is the least stable.

*one*
Below is a relaxed NaCoAg3 crystal, with properties calculated at the PBE level.

Cell and atoms, written as CIF:
```
data_NaCoAg3
_symmetry_space_group_name_H-M 'P 1'
_symmetry_Int_Tables_number 1
_cell_length_a 4.9053
_cell_length_b 4.9053
_cell_length_c 4.9053
_cell_angle_alpha 90.00
_cell_angle_beta 90.00
_cell_angle_gamma 90.00
loop_
_symmetry_equiv_pos_as_xyz
'x,y,z'
loop_
_atom_site_label
_atom_site_type_symbol
_atom_site_fract_x
_atom_site_fract_y
_atom_site_fract_z
_atom_site_occupancy
Na1 Na 0.0000 0.0000 0.0000 1
Co1 Co 0.5000 0.5000 0.5000 1
Ag1 Ag 0.0000 0.5000 0.5000 1
Ag2 Ag 0.5000 0.0000 0.5000 1
Ag3 Ag 0.5000 0.5000 0.0000 1
```

Mass density ... 5.705 g/cm³
Spin magnetization ... 1.8 μB per formula unit
Space-group type ... Pm-3m (221)

*two*
Below is a relaxed NaCoAg3 crystal, with properties calculated at the PBE level.

Cell and atoms, written as CIF:
```
data_NaCoAg3
_symmetry_space_group_name_H-M 'P 1'
_symmetry_Int_Tables_number 1
_cell_length_a 4.8201
_cell_length_b 4.8201
_cell_length_c 4.8201
_cell_angle_alpha 90.00
_cell_angle_beta 90.00
_cell_angle_gamma 90.00
loop_
_symmetry_equiv_pos_as_xyz
'x,y,z'
loop_
_atom_site_label
_atom_site_type_symbol
_atom_site_fract_x
_atom_site_fract_y
_atom_site_fract_z
_atom_site_occupancy
Na1 Na 0.0000 0.0000 0.0000 1
Co1 Co 0.5000 0.5000 0.5000 1
Ag1 Ag 0.0000 0.0000 0.5000 1
Ag2 Ag 0.0000 0.5000 0.0000 1
Ag3 Ag 0.5000 0.0000 0.0000 1
```

Mass density ... 6.013 g/cm³
Spin magnetization ... 1.8 μB per formula unit
Space-group type ... Pm-3m (221)

Which one is most stable, and which one is least stable? *one* is the most stable of them, while *two* is the least stable.